A.
Below is EuMgHg2 after structural relaxation, with properties calculated at the PBE-GGA level.

Geometry as extended XYZ:
```
4
Lattice="3.544 0.000 0.000 0.000 3.544 0.000 0.000 0.000 7.959" Properties=species:S:1:pos:R:3 pbc="T T T"
Eu 0.000 0.000 0.000
Mg 0.000 0.000 3.980
Hg 1.772 1.772 2.190
Hg 1.772 1.772 5.769
```

SG ... P4/mmm

B.
Below is EuMgHg2 after structural relaxation, with properties calculated at the PBE-GGA level.

Geometry as extended XYZ:
```
4
Lattice="0.000 3.693 3.693 3.693 0.000 3.693 3.693 3.693 0.000" Properties=species:S:1:pos:R:3 pbc="T T T"
Eu 0.000 0.000 0.000
Mg 3.693 3.693 3.693
Hg 1.846 1.846 1.846
Hg 5.539 5.539 5.539
```

SG ... Fm-3m

Question: of the structures shown, which is the most stable? Reply: B.